A geometry-optimized Tb7SmTh2 structure. Source: the Alexandria database, functional PBE-GGA.

The structure in CIF format:
```
data_Tb7SmTh2
_chemical_formula_sum 'Tb14 Sm2 Th4'
_cell_length_a 8.727
_cell_length_b 16.650
_cell_length_c 5.537
_cell_angle_alpha 90.00
_cell_angle_beta 90.00
_cell_angle_gamma 90.00
_symmetry_space_group_name_H-M 'C m m m'
_symmetry_Int_Tables_number 65
_symmetry_space_group_name_Hall '-C 2 2'
loop_
_atom_site_label
_atom_site_type_symbol
_atom_site_fract_x
_atom_site_fract_y
_atom_site_fract_z
Tb1 Tb 0.000 0.000 0.000
Tb2 Tb 0.000 0.289 0.500
Tb3 Tb 0.177 0.388 0.000
Sm1 Sm 0.000 0.500 0.500
Th1 Th 0.000 0.204 0.000
```

Summary:
Magnetic moment, μB per atom: 0.0000
Offset from the most stable computed form, meV per atom: 335.9
Formation energy, eV per atom: 0.757